i) ## CaZr3Mo (PBE-GGA)

Data for a relaxed structure of CaZr3Mo.

The structure in CIF format:
```
data_CaZr3Mo
_chemical_formula_sum 'Ca1 Zr3 Mo1'
_space_group_name_H-M_alt 'P 1'
_space_group_IT_number 1
_space_group_name_Hall 'P 1'
_cell_length_a 5.175
_cell_length_b 5.175
_cell_length_c 5.175
_cell_angle_alpha 90.00
_cell_angle_beta 90.00
_cell_angle_gamma 90.00
loop_
_atom_site_label
_atom_site_type_symbol
_atom_site_fract_x
_atom_site_fract_y
_atom_site_fract_z
Ca1 Ca 0.000 0.000 0.000
Zr1 Zr 0.000 0.500 0.500
Zr2 Zr 0.500 0.000 0.500
Zr3 Zr 0.500 0.500 0.000
Mo1 Mo 0.500 0.500 0.500
```

Calculated values
The crystal system is cubic. For the total magnetization, the calculation gives 0.01 Bohr magnetons per cell. As for the space group: Pm-3m, No. 221.

ii) ## CaZr3Mo (PBE-GGA)

Data for a relaxed structure of CaZr3Mo.

The structure in CIF format:
```
data_CaZr3Mo
_chemical_formula_sum 'Ca1 Zr3 Mo1'
_space_group_name_H-M_alt 'P 1'
_space_group_IT_number 1
_space_group_name_Hall 'P 1'
_cell_length_a 4.899
_cell_length_b 4.899
_cell_length_c 4.899
_cell_angle_alpha 90.00
_cell_angle_beta 90.00
_cell_angle_gamma 90.00
loop_
_atom_site_label
_atom_site_type_symbol
_atom_site_fract_x
_atom_site_fract_y
_atom_site_fract_z
Ca1 Ca 0.000 0.000 0.000
Zr1 Zr 0.000 0.000 0.500
Zr2 Zr 0.000 0.500 0.000
Zr3 Zr 0.500 0.000 0.000
Mo1 Mo 0.500 0.500 0.500
```

Calculated values
The crystal system is cubic. For the total magnetization, the calculation gives 0.00 Bohr magnetons per cell. As for the space group: Pm-3m, No. 221.

Result of the stability comparison: i) is the most stable of them.

i) ## Ca3N2 (PBE-GGA)

Data for a relaxed structure of Ca3N2.

The structure in CIF format:
```
data_Ca3N2
_chemical_formula_sum 'Ca24 N16'
_space_group_name_H-M_alt 'P 1'
_space_group_IT_number 1
_space_group_name_Hall 'P 1'
_cell_length_a 9.934
_cell_length_b 9.934
_cell_length_c 9.934
_cell_angle_alpha 109.47
_cell_angle_beta 109.47
_cell_angle_gamma 109.47
loop_
_atom_site_label
_atom_site_type_symbol
_atom_site_fract_x
_atom_site_fract_y
_atom_site_fract_z
Ca1 Ca 0.007 0.463 0.735
Ca2 Ca 0.037 0.044 0.272
Ca3 Ca 0.044 0.272 0.037
Ca4 Ca 0.228 0.271 0.765
Ca5 Ca 0.229 0.456 0.493
Ca6 Ca 0.235 0.772 0.729
Ca7 Ca 0.265 0.993 0.537
Ca8 Ca 0.271 0.765 0.228
Ca9 Ca 0.272 0.037 0.044
Ca10 Ca 0.456 0.493 0.229
Ca11 Ca 0.463 0.735 0.007
Ca12 Ca 0.493 0.229 0.456
Ca13 Ca 0.507 0.771 0.544
Ca14 Ca 0.537 0.265 0.993
Ca15 Ca 0.544 0.507 0.771
Ca16 Ca 0.728 0.963 0.956
Ca17 Ca 0.729 0.235 0.772
Ca18 Ca 0.735 0.007 0.463
Ca19 Ca 0.765 0.228 0.271
Ca20 Ca 0.771 0.544 0.507
Ca21 Ca 0.772 0.729 0.235
Ca22 Ca 0.956 0.728 0.963
Ca23 Ca 0.963 0.956 0.728
Ca24 Ca 0.993 0.537 0.265
N1 N 0.000 0.000 0.000
N2 N 0.000 0.500 0.500
N3 N 0.040 0.790 0.250
N4 N 0.210 0.750 0.960
N5 N 0.250 0.040 0.790
N6 N 0.250 0.540 0.290
N7 N 0.290 0.250 0.540
N8 N 0.460 0.710 0.750
N9 N 0.500 0.000 0.500
N10 N 0.500 0.500 0.000
N11 N 0.540 0.290 0.250
N12 N 0.710 0.750 0.460
N13 N 0.750 0.460 0.710
N14 N 0.750 0.960 0.210
N15 N 0.790 0.250 0.040
N16 N 0.960 0.210 0.750
```

Calculated values
The crystal system is cubic. For the total magnetization, the calculation gives 0.00 Bohr magnetons per cell. As for the space group: Ia-3, No. 206.

ii) ## Ca3N2 (PBE-GGA)

Data for a relaxed structure of Ca3N2.

The structure in CIF format:
```
data_Ca3N2
_chemical_formula_sum 'Ca3 N2'
_space_group_name_H-M_alt 'P 1'
_space_group_IT_number 1
_space_group_name_Hall 'P 1'
_cell_length_a 3.851
_cell_length_b 3.851
_cell_length_c 6.935
_cell_angle_alpha 90.00
_cell_angle_beta 90.00
_cell_angle_gamma 120.00
loop_
_atom_site_label
_atom_site_type_symbol
_atom_site_fract_x
_atom_site_fract_y
_atom_site_fract_z
Ca1 Ca 0.000 0.000 0.000
Ca2 Ca 0.333 0.667 0.334
Ca3 Ca 0.667 0.333 0.666
N1 N 0.333 0.667 0.771
N2 N 0.667 0.333 0.229
```

Calculated values
The crystal system is trigonal. For the total magnetization, the calculation gives 0.00 Bohr magnetons per cell. As for the space group: P-3m1, No. 164.

iii) ## Ca3N2 (PBE-GGA)

Data for a relaxed structure of Ca3N2.

The structure in CIF format:
```
data_Ca3N2
_chemical_formula_sum 'Ca9 N6'
_space_group_name_H-M_alt 'P 1'
_space_group_IT_number 1
_space_group_name_Hall 'P 1'
_cell_length_a 7.807
_cell_length_b 7.807
_cell_length_c 9.363
_cell_angle_alpha 100.31
_cell_angle_beta 100.31
_cell_angle_gamma 27.98
loop_
_atom_site_label
_atom_site_type_symbol
_atom_site_fract_x
_atom_site_fract_y
_atom_site_fract_z
Ca1 Ca 0.000 0.000 0.000
Ca2 Ca 0.033 0.033 0.661
Ca3 Ca 0.289 0.289 0.378
Ca4 Ca 0.328 0.328 0.034
Ca5 Ca 0.375 0.375 0.721
Ca6 Ca 0.625 0.625 0.279
Ca7 Ca 0.672 0.672 0.966
Ca8 Ca 0.711 0.711 0.622
Ca9 Ca 0.967 0.967 0.339
N1 N 0.141 0.141 0.489
N2 N 0.183 0.183 0.131
N3 N 0.469 0.469 0.187
N4 N 0.531 0.531 0.813
N5 N 0.817 0.817 0.869
N6 N 0.859 0.859 0.511
```

Calculated values
The crystal system is monoclinic. For the total magnetization, the calculation gives 0.00 Bohr magnetons per cell. As for the space group: C2/m, No. 12.

Result of the stability comparison: i) is the most stable of them.

i) ## Ca3N2 (PBE-GGA)

Data for a relaxed structure of Ca3N2.

The structure in CIF format:
```
data_Ca3N2
_chemical_formula_sum 'Ca12 N8'
_space_group_name_H-M_alt 'P 1'
_space_group_IT_number 1
_space_group_name_Hall 'P 1'
_cell_length_a 8.982
_cell_length_b 6.213
_cell_length_c 6.361
_cell_angle_alpha 90.00
_cell_angle_beta 90.00
_cell_angle_gamma 90.00
loop_
_atom_site_label
_atom_site_type_symbol
_atom_site_fract_x
_atom_site_fract_y
_atom_site_fract_z
Ca1 Ca 0.000 0.045 0.250
Ca2 Ca 0.000 0.955 0.750
Ca3 Ca 0.153 0.394 0.605
Ca4 Ca 0.153 0.606 0.105
Ca5 Ca 0.347 0.106 0.105
Ca6 Ca 0.347 0.894 0.605
Ca7 Ca 0.500 0.455 0.750
Ca8 Ca 0.500 0.545 0.250
Ca9 Ca 0.653 0.106 0.395
Ca10 Ca 0.653 0.894 0.895
Ca11 Ca 0.847 0.394 0.895
Ca12 Ca 0.847 0.606 0.395
N1 N 0.112 0.247 0.969
N2 N 0.112 0.753 0.469
N3 N 0.388 0.253 0.469
N4 N 0.388 0.747 0.969
N5 N 0.612 0.253 0.031
N6 N 0.612 0.747 0.531
N7 N 0.888 0.247 0.531
N8 N 0.888 0.753 0.031
```

Calculated values
The crystal system is orthorhombic. For the total magnetization, the calculation gives 0.00 Bohr magnetons per cell. As for the space group: Pbcn, No. 60.

ii) ## Ca3N2 (PBE-GGA)

Data for a relaxed structure of Ca3N2.

The structure in CIF format:
```
data_Ca3N2
_chemical_formula_sum 'Ca6 N4'
_space_group_name_H-M_alt 'P 1'
_space_group_IT_number 1
_space_group_name_Hall 'P 1'
_cell_length_a 3.897
_cell_length_b 3.897
_cell_length_c 13.237
_cell_angle_alpha 90.00
_cell_angle_beta 90.00
_cell_angle_gamma 120.00
loop_
_atom_site_label
_atom_site_type_symbol
_atom_site_fract_x
_atom_site_fract_y
_atom_site_fract_z
Ca1 Ca 0.000 0.000 0.250
Ca2 Ca 0.000 0.000 0.750
Ca3 Ca 0.333 0.667 0.086
Ca4 Ca 0.333 0.667 0.414
Ca5 Ca 0.667 0.333 0.586
Ca6 Ca 0.667 0.333 0.914
N1 N 0.000 0.000 0.000
N2 N 0.000 0.000 0.500
N3 N 0.333 0.667 0.750
N4 N 0.667 0.333 0.250
```

Calculated values
The crystal system is hexagonal. For the total magnetization, the calculation gives 0.00 Bohr magnetons per cell. As for the space group: P6_3/mmc, No. 194.

iii) ## Ca3N2 (PBE-GGA)

Data for a relaxed structure of Ca3N2.

The structure in CIF format:
```
data_Ca3N2
_chemical_formula_sum 'Ca6 N4'
_space_group_name_H-M_alt 'P 1'
_space_group_IT_number 1
_space_group_name_Hall 'P 1'
_cell_length_a 6.606
_cell_length_b 6.606
_cell_length_c 6.606
_cell_angle_alpha 55.90
_cell_angle_beta 55.90
_cell_angle_gamma 55.90
loop_
_atom_site_label
_atom_site_type_symbol
_atom_site_fract_x
_atom_site_fract_y
_atom_site_fract_z
Ca1 Ca 0.050 0.750 0.450
Ca2 Ca 0.250 0.550 0.950
Ca3 Ca 0.450 0.050 0.750
Ca4 Ca 0.550 0.950 0.250
Ca5 Ca 0.750 0.450 0.050
Ca6 Ca 0.950 0.250 0.550
N1 N 0.147 0.147 0.147
N2 N 0.353 0.353 0.353
N3 N 0.647 0.647 0.647
N4 N 0.853 0.853 0.853
```

Calculated values
The crystal system is trigonal. For the total magnetization, the calculation gives 0.00 Bohr magnetons per cell. As for the space group: R-3c, No. 167.

Result of the stability comparison: iii) is the most stable of them.